Material: Sr2LiCu
Method: DFT, meta-GGA SCAN
State: single point on PBEsol structure

Summary:
SG	No. 38
calculated total energy	-62.05	eV/f.u.
total magnetic moment	0.03	μB/cell

a = 4.5242 Å, b = 4.5306 Å, c = 6.3902 Å
α = 90.00°, β = 110.73°, γ = 90.00°
Element x y z (fractional)
Cu 0.8102 0.0000 0.6205
Sr 0.1060 0.0000 0.2120
Sr 0.3902 0.5000 0.7803
Li 0.6968 0.5000 0.3935